No. 1
Material: CsTl2TeSe4
Method: DFT, PBE-GGA
State: relaxed

For the uncorrected formation energy, the calculation gives -0.305 eV per atom. The total moment comes out at 0.00 μB/f.u. The value obtained for the density of states at the Fermi level is 0.19 states/eV per atom. The total energy comes out at -0.115 hartree per atom.

Unit cell a=8.8157 b=8.8157 c=8.6237 alpha=117.20 beta=117.20 gamma=89.59
Sites, in units of the cell vectors:
Cs 0.0000 0.0000 0.0000
Cs 0.0000 0.0000 0.5000
Tl 0.0000 0.5000 0.0000
Tl 0.5000 0.0000 0.5000
Tl 0.5000 0.5000 0.0000
Tl 0.5000 0.5000 0.5000
Te 0.0000 0.5000 0.5000
Te 0.5000 0.0000 0.0000
Se 0.2346 0.6952 0.4726
Se 0.2776 0.3123 0.5580
Se 0.3048 0.7654 0.0274
Se 0.3123 0.2776 0.0580
Se 0.6877 0.7224 0.9420
Se 0.6952 0.2346 0.9726
Se 0.7224 0.6877 0.4420
Se 0.7654 0.3048 0.5274



No. 2
Material: Ac2Os
Method: DFT, PBE-GGA
State: relaxed

The value obtained for the energy relative to the lowest polymorph listed for this composition is 0.0 meV/atom. The total moment comes out at 0.00 μB/f.u. The value obtained for the density of states at the Fermi level is 1.11 states/eV per atom. The total energy comes out at -0.237 hartree per atom. The value obtained for the calculated formation energy is 32 meV/atom.

Unit cell a=4.3029 b=6.7062 c=7.7948 alpha=87.50 beta=74.06 gamma=71.30
Sites, in units of the cell vectors:
Ac 0.0849 0.2124 0.1185
Ac 0.2153 0.7032 0.3661
Ac 0.7847 0.2968 0.6339
Ac 0.9151 0.7876 0.8815
Os 0.4911 0.1347 0.3834
Os 0.5089 0.8653 0.6166



No. 3
Material: Dy3RuI
Method: DFT, PBE-GGA
State: relaxed

For the uncorrected formation energy, the calculation gives -0.449 eV per atom. The total moment comes out at 0.00 μB/f.u. The value obtained for the density of states at the Fermi level is 0.58 states/eV per atom. The total energy comes out at -0.198 hartree per atom.

Unit cell a=4.0744 b=7.2348 c=9.9659 alpha=90.00 beta=90.00 gamma=90.00
Sites, in units of the cell vectors:
Dy 0.2500 0.0031 0.1413
Dy 0.2500 0.4969 0.1413
Dy 0.2500 0.7500 0.6306
Dy 0.7500 0.2500 0.3694
Dy 0.7500 0.5031 0.8587
Dy 0.7500 0.9969 0.8587
Ru 0.2500 0.7500 0.9054
Ru 0.7500 0.2500 0.0946
I 0.2500 0.2500 0.6337
I 0.7500 0.7500 0.3663



No. 4
Material: Nd2SiS
Method: DFT, PBE-GGA
State: relaxed

The value obtained for the energy relative to the lowest polymorph listed for this composition is 176.8 meV/atom. For the uncorrected formation energy, the calculation gives -1.215 eV per atom. The total moment comes out at 0.00 μB/f.u. The value obtained for the density of states at the Fermi level is 0.68 states/eV per atom. The total energy comes out at -0.220 hartree per atom.

Unit cell a=7.6323 b=7.6323 c=7.6323 alpha=31.26 beta=31.26 gamma=31.26
Sites, in units of the cell vectors:
Nd 0.0000 0.0000 0.0000
Nd 0.1734 0.1734 0.1734
Si 0.5867 0.5867 0.5867
S 0.4172 0.4172 0.4172